1.
The following is a DFT calculation (GGA-PBE) of CsGdSeO after structural relaxation.

The calculation puts the calculated density at 5.97 g/cm3. For the relative energy among the computed polymorphs, the calculation gives 0 meV/atom.

The structure belongs to space group P2_1/c (No. 14); the cell edges are 8.475, 7.560 and 6.819 Å and the angles 90.00°, 101.34° and 90.00°. The inequivalent atoms are Cs at (0.088, 0.217, 0.479), Gd at (0.480, 0.629, 0.783), Se at (0.264, 0.595, 0.370) and O at (0.415, 0.146, 0.385).


2.
The following is a DFT calculation (GGA-PBE) of CsGdTeO after structural relaxation.

The calculation puts the calculated density at 6.55 g/cm3. For the relative energy among the computed polymorphs, the calculation gives 356 meV/atom.

The structure belongs to space group P-6m2 (No. 187); the cell edges are 3.9551, 3.9551 and 16.2305 Å and the angles 90.00°, 90.00° and 120.00°. The inequivalent atoms are Cs at (0.0000, 0.0000, 0.0000), Cs at (0.3333, 0.6667, 0.5000), Gd at (0.6667, 0.3333, 0.2014), Te at (0.0000, 0.0000, 0.3250) and O at (0.3333, 0.6667, 0.1409).


3.
The following is a DFT calculation (GGA-PBE) of CsGdTeO after structural relaxation.

The calculation puts the calculated density at 4.48 g/cm3. For the relative energy among the computed polymorphs, the calculation gives 168 meV/atom.

The structure belongs to space group Pmc2_1 (No. 26); the cell edges are 4.891, 9.081 and 7.236 Å and the angles 90.00°, 90.00° and 90.00°. The inequivalent atoms are Cs at (0.000, 0.208, 0.000), Gd at (0.500, 0.396, 0.421), Te at (0.000, 0.211, 0.502) and O at (0.500, 0.435, 0.126).


4.
The following is a DFT calculation (GGA-PBE) of CsGdTeO after structural relaxation.

The calculation puts the calculated density at 6.58 g/cm3. For the relative energy among the computed polymorphs, the calculation gives 369 meV/atom.

The structure belongs to space group P-3m1 (No. 164); the cell edges are 3.9496, 3.9496 and 16.1997 Å and the angles 90.00°, 90.00° and 120.00°. The inequivalent atoms are Cs at (0.3333, 0.6667, 0.2981), Gd at (0.0000, 0.0000, 0.0000), Gd at (0.0000, 0.0000, 0.5000), Te at (0.3333, 0.6667, 0.8787) and O at (0.3333, 0.6667, 0.5636).


5.
The following is a DFT calculation (GGA-PBE) of CsGdTeO after structural relaxation.

The calculation puts the calculated density at 6.56 g/cm3. For the relative energy among the computed polymorphs, the calculation gives 343 meV/atom.

The structure belongs to space group P6_3mc (No. 186); the cell edges are 3.9517, 3.9517 and 16.2457 Å and the angles 90.00°, 90.00° and 120.00°. The inequivalent atoms are Cs at (0.3333, 0.6667, 0.0000), Gd at (0.0000, 0.0000, 0.2932), Te at (0.3333, 0.6667, 0.6676) and O at (0.3333, 0.6667, 0.3471).


6.
The following is a DFT calculation (GGA-PBE) of Cs2Gd2TeO3 after structural relaxation.

The calculation puts the total energy at -46.13 eV for the cell shown. The calculation puts the calculated density at 6.92 g/cm3.

The structure belongs to space group P3m1 (No. 156); the cell edges are 3.7227, 3.7227 and 15.1203 Å and the angles 90.00°, 90.00° and 120.00°. The inequivalent atoms are Cs at (0.0000, 0.0000, 0.0000), Cs at (0.3333, 0.6667, 0.4411), Gd at (0.6667, 0.3333, 0.2194), Gd at (0.6667, 0.3333, 0.7749), Te at (0.0000, 0.0000, 0.6331), O at (0.0000, 0.0000, 0.2903), O at (0.3333, 0.6667, 0.1452) and O at (0.3333, 0.6667, 0.8374).


Result set for M_tot: 0.000, 0.003, 0.000, 0.003, 0.007, 0.001 μB/f.u., one per record in the order listed.